(1)
An optimized crystal structure of LaPuNb. Source: OQMD via LeMat-Bulk, functional PBE.

Lattice parameters (Å, degrees): 4.844 4.844 4.844 60.00 60.00 60.00
Each line ends with the local moment (μB).
Fractional coordinates of all 3 atoms:
Nb 0.000 0.000 0.000  -0.81
Pu 0.750 0.750 0.750  5.00
La 0.250 0.250 0.250  -0.08

Computed properties:
Energy relative to the elements, eV per atom: 0.7732

=====

(2)
An optimized crystal structure of Mg2CoB. Source: OQMD via LeMat-Bulk, functional PBE.

Lattice parameters (Å, degrees): 4.111 4.111 4.111 60.00 60.00 60.00
Fractional coordinates of all 4 atoms:
B 0.500 0.500 0.500
Co 0.250 0.250 0.250
Mg 0.750 0.750 0.750
Mg 0.000 0.000 0.000

=====

(3)
An optimized crystal structure of NbSiPt. Source: OQMD via LeMat-Bulk, functional PBE.

Lattice parameters (Å, degrees): 6.476 3.857 7.424 90.00 90.00 90.00
Fractional coordinates of all 12 atoms:
Pt 0.652 0.250 0.935
Nb 0.473 0.750 0.665
Si 0.232 0.750 0.374
Si 0.732 0.750 0.126
Pt 0.152 0.250 0.565
Pt 0.848 0.750 0.435
Pt 0.348 0.750 0.065
Si 0.268 0.250 0.874
Si 0.768 0.250 0.626
Nb 0.973 0.750 0.835
Nb 0.027 0.250 0.165
Nb 0.527 0.250 0.335

=====

| no. | DFT total energy (eV per cell) |
| --- | --- |
| 1 | -26.8 |
| 2 | -14.8 |
| 3 | -96.0 |